{
  "formula": "Be2VSiNi",
  "functional": "PBE",
  "state": "optimized geometry",
  "lattice_angstrom": [[4.228, 0.000, 0.000], [0.000, 4.228, 0.000], [0.000, 0.000, 4.234]],
  "species": ["Be", "Be", "V", "Si", "Ni"],
  "fractional_positions": [[0.000, 0.500, 0.000], [0.500, 0.000, 0.000], [0.000, 0.000, 0.000], [0.500, 0.500, 0.500], [0.000, 0.000, 0.500]],
  "dos_ef_per_ev_cell": 4.55,
  "crystal_system": "tetragonal",
  "sg": "P4/mmm, No. 123",
  "m_tot_mub_per_atom": 0.1089,
  "dft_energy_ev_per_atom": -4.126,
  "formation_energy_uncorrected_mev_per_atom": 1429
}

***

{
  "formula": "Y2BeSi4Ni3",
  "functional": "PBE",
  "state": "optimized geometry",
  "lattice_angstrom": [[3.936, 0.000, 0.000], [0.000, 3.936, 0.000], [0.000, 0.000, 9.572]],
  "species": ["Y", "Y", "Be", "Si", "Si", "Si", "Si", "Ni", "Ni", "Ni"],
  "fractional_positions": [[0.000, 0.500, 0.249], [0.500, 0.000, 0.751], [0.500, 0.500, 0.000], [0.000, 0.000, 0.500], [0.000, 0.500, 0.868], [0.500, 0.000, 0.132], [0.500, 0.500, 0.500], [0.000, 0.000, 0.000], [0.000, 0.500, 0.625], [0.500, 0.000, 0.375]],
  "dos_ef_per_ev_cell": 4.08,
  "crystal_system": "tetragonal",
  "sg": "P-4m2, No. 115",
  "m_tot_mub_per_atom": 0.0000,
  "dft_energy_ev_per_atom": -6.337,
  "formation_energy_uncorrected_mev_per_atom": -768
}